Below is an optimized crystal structure of NaPuMn2O8, with properties calculated at the GGA+U level.

Computed properties:
E_tot = -7.269 eV per atom

Cell lengths 7.151, 7.151, 6.244 Å; angles 90.00, 90.00, 90.00 degrees
Space group I-4m2 (No. 119)
Unique sites:
1 Na 0.000 0.000 0.000 (multiplicity 2)
2 Pu 0.000 0.500 0.750 (multiplicity 2)
3 Mn 0.000 0.000 0.500 (multiplicity 2)
4 Mn 0.000 0.500 0.250 (multiplicity 2)
5 O 0.000 0.194 0.662 (multiplicity 8)
6 O 0.000 0.325 0.065 (multiplicity 8)